# 1
## Tl4HgAu5 (PBE)

Data for a relaxed structure of Tl4HgAu5.

POSCAR file:
```
Tl4HgAu5
1.0
-3.377 4.092 -0.946
-3.028 -0.477 -6.608
-6.790 -1.563 2.125
Au Tl Hg
5 4 1
direct
0.690 0.000 0.000
0.120 0.000 0.613
0.733 0.387 0.000
0.120 0.613 0.000
0.733 0.000 0.387
0.165 0.310 0.310
0.785 0.690 0.690
0.475 0.690 0.310
0.475 0.310 0.690
0.193 0.000 0.000
```

## Properties
symmetry = No. 107
final energy = -2.592 eV per atom

---

# 2
## CeNdCo2 (PBE)

Data for a relaxed structure of CeNdCo2.

POSCAR file:
```
CeNdCo2
1.0
4.509 0.000 0.000
0.000 7.640 0.000
0.000 0.000 9.453
Co Nd Ce
8 4 4
direct
0.750 0.794 0.418
0.250 0.204 0.167
0.750 0.796 0.833
0.750 0.294 0.082
0.250 0.704 0.333
0.250 0.706 0.918
0.750 0.296 0.667
0.250 0.206 0.582
0.750 0.912 0.126
0.250 0.588 0.626
0.750 0.412 0.374
0.250 0.088 0.874
0.250 0.574 0.124
0.750 0.426 0.876
0.750 0.926 0.624
0.250 0.074 0.376
```

## Properties
polymorph energy (0 for the lowest one) = 0 meV per atom
symmetry = No. 62

---

# 3
## Li6CaGa6 (PBE)

Data for a relaxed structure of Li6CaGa6.

POSCAR file:
```
Li6CaGa6
1.0
-3.315 2.812 -3.316
-6.815 -0.813 1.616
-1.368 6.498 2.371
Li Ga Ca
6 6 1
direct
0.705 0.795 0.795
0.648 0.352 0.352
0.000 0.654 0.346
0.295 0.205 0.205
0.352 0.648 0.648
0.000 0.346 0.654
0.500 0.000 0.500
0.000 0.000 0.500
0.000 0.500 0.000
0.500 0.214 0.786
0.500 0.500 0.000
0.500 0.786 0.214
0.000 0.000 0.000
```

## Properties
symmetry = No. 71
final energy = -2.726 eV per atom

---

# 4
## LaMnTc2 (PBE)

Data for a relaxed structure of LaMnTc2.

POSCAR file:
```
LaMnTc2
1.0
5.615 0.189 -0.091
2.459 5.052 0.091
-3.379 -3.634 2.636
Tc La Mn
2 1 1
direct
0.983 0.983 0.000
0.775 0.275 0.500
0.511 0.511 0.000
0.231 0.731 0.500
```

## Properties
polymorph energy (0 for the lowest one) = 251 meV per atom
symmetry = No. 44

---

# 5
## Ac3Tl2Ag7 (PBE)

Data for a relaxed structure of Ac3Tl2Ag7.

POSCAR file:
```
Ac3Tl2Ag7
1.0
4.630 0.000 0.000
0.000 5.388 0.580
0.000 -1.060 12.967
Ag Tl Ac
7 2 3
direct
0.500 0.995 0.145
0.500 0.250 0.505
0.500 0.005 0.855
0.000 0.000 0.000
0.500 0.750 0.495
0.000 0.364 0.835
0.000 0.636 0.165
0.500 0.516 0.291
0.500 0.484 0.709
0.000 0.942 0.668
0.000 0.058 0.332
0.500 0.500 0.000
```

## Properties
symmetry = No. 10
final energy = -3.252 eV per atom

---

# 6
## K2Al (PBE)

Data for a relaxed structure of K2Al.

POSCAR file:
```
K2Al
1.0
5.740 3.264 5.553
0.545 5.777 6.384
-3.835 -6.590 -4.036
K Al
2 1
direct
0.633 0.633 0.000
0.367 0.367 0.000
0.000 0.000 0.000
```

## Properties
polymorph energy (0 for the lowest one) = 227 meV per atom
symmetry = No. 139

---

# 7
## YSb2Ir (PBE)

Data for a relaxed structure of YSb2Ir.

POSCAR file:
```
YSb2Ir
1.0
-1.442 0.565 4.383
-2.017 -4.187 -0.130
3.416 -1.687 1.341
Ir Y Sb
1 1 2
direct
0.000 0.500 0.500
0.500 0.000 0.500
0.500 0.500 0.000
0.000 0.000 0.000
```

## Properties
symmetry = No. 65
formation energy from raw total energies = -329 meV/atom

---

# 8
## CaGdSnHg (PBE)

Data for a relaxed structure of CaGdSnHg.

POSCAR file:
```
CaGdSnHg
1.0
-3.239 -1.201 4.119
-3.039 -4.431 -0.174
1.144 -4.171 3.192
Hg Ca Gd Sn
1 1 1 1
direct
0.750 0.750 0.750
0.500 0.500 0.500
0.000 0.000 0.000
0.250 0.250 0.250
```

## Properties
symmetry = No. 216
final energy = -5.702 eV per atom

---

# 9
## CaPaPbO5 (PBE)

Data for a relaxed structure of CaPaPbO5.

POSCAR file:
```
CaPaPbO5
1.0
6.406 0.499 -0.172
-1.393 6.273 -0.172
-2.306 -3.115 7.538
Pa Ca Pb O
2 2 2 10
direct
0.000 0.000 0.000
0.000 0.000 0.500
0.697 0.303 0.750
0.303 0.697 0.250
0.346 0.654 0.750
0.654 0.346 0.250
0.222 0.770 0.517
0.778 0.230 0.483
0.230 0.778 0.983
0.281 0.312 0.147
0.312 0.281 0.647
0.947 0.053 0.750
0.770 0.222 0.017
0.053 0.947 0.250
0.719 0.688 0.853
0.688 0.719 0.353
```

## Properties
symmetry = No. 15
formation energy from raw total energies = -2564 meV/atom

---

# 10
## La4Al (PBE)

Data for a relaxed structure of La4Al.

POSCAR file:
```
La4Al
1.0
5.873 0.000 0.000
0.000 5.873 0.000
0.000 0.000 5.873
La Al
4 1
direct
0.000 0.500 0.500
0.500 0.500 0.000
0.500 0.000 0.500
0.000 0.000 0.000
0.500 0.500 0.500
```

## Properties
polymorph energy (0 for the lowest one) = 366 meV per atom
symmetry = No. 221

---

# 11
## Rb6Br2OF (PBE)

Data for a relaxed structure of Rb6Br2OF.

POSCAR file:
```
Rb6Br2OF
1.0
-6.639 4.325 0.447
-6.102 -2.540 4.391
0.939 7.404 12.760
Rb Br O F
12 4 2 2
direct
0.202 0.202 0.880
0.384 0.851 0.381
0.716 0.202 0.880
0.798 0.284 0.120
0.284 0.798 0.120
0.616 0.616 0.619
0.384 0.384 0.381
0.798 0.798 0.120
0.851 0.384 0.381
0.149 0.616 0.619
0.616 0.149 0.619
0.202 0.716 0.880
0.268 0.268 0.195
0.732 0.732 0.805
0.138 0.138 0.585
0.862 0.862 0.415
0.500 0.500 0.500
0.000 0.000 0.000
0.414 0.414 0.758
0.586 0.586 0.242
```

## Properties
symmetry = No. 166
formation energy from raw total energies = -1448 meV/atom

---

# 12
## Sr2PbW (PBE)

Data for a relaxed structure of Sr2PbW.

POSCAR file:
```
Sr2PbW
1.0
3.786 0.000 0.000
0.000 3.786 0.000
0.000 0.000 9.108
Sr Pb W
2 1 1
direct
0.000 0.000 0.928
0.500 0.500 0.321
0.500 0.500 0.683
0.000 0.000 0.567
```

## Properties
symmetry = No. 99
final energy = -4.403 eV per atom

---

# 13
## TlPd5Au4 (PBE)

Data for a relaxed structure of TlPd5Au4.

POSCAR file:
```
TlPd5Au4
1.0
5.415 0.000 0.000
2.707 5.882 0.000
2.707 0.000 5.882
Au Pd Tl
4 5 1
direct
0.526 0.600 0.262
0.388 0.400 0.738
0.788 0.738 0.600
0.126 0.262 0.400
0.696 0.134 0.371
0.830 0.371 0.866
0.680 0.000 0.000
0.201 0.866 0.629
0.067 0.629 0.134
0.208 0.000 0.000
```

## Properties
polymorph energy (0 for the lowest one) = 219 meV per atom
symmetry = No. 79

---

# 14
## CoSiSe2 (PBE)

Data for a relaxed structure of CoSiSe2.

POSCAR file:
```
CoSiSe2
1.0
-0.931 1.742 4.055
-3.912 -0.969 2.026
-0.056 -2.663 3.640
Se Si Co
2 1 1
direct
0.750 0.750 0.750
0.000 0.000 0.000
0.250 0.250 0.250
0.500 0.500 0.500
```

## Properties
symmetry = No. 216
formation energy from raw total energies = 678 meV/atom

---

# 15
## TiInNO2 (PBE)

Data for a relaxed structure of TiInNO2.

POSCAR file:
```
TiInNO2
1.0
4.035 0.000 0.000
0.000 4.035 0.000
0.000 0.000 4.178
O In N Ti
2 1 1 1
direct
0.500 0.000 0.000
0.000 0.500 0.000
0.000 0.000 0.000
0.000 0.000 0.500
0.500 0.500 0.500
```

## Properties
symmetry = No. 123
formation energy from raw total energies = 34 meV/atom

---

# 16
## ScBe2As2 (PBE)

Data for a relaxed structure of ScBe2As2.

POSCAR file:
```
ScBe2As2
1.0
-2.849 -2.074 -0.430
0.449 -1.296 3.275
-4.779 2.765 3.674
Be As Sc
2 2 1
direct
0.750 0.250 0.500
0.250 0.750 0.500
0.371 0.371 0.258
0.629 0.629 0.742
0.000 0.000 0.000
```

## Properties
symmetry = No. 139
final energy = -4.988 eV per atom

---

# 17
## RbTl3Rh (PBE)

Data for a relaxed structure of RbTl3Rh.

POSCAR file:
```
RbTl3Rh
1.0
-2.333 -5.621 0.013
5.279 -2.196 -2.086
1.931 -0.788 5.718
Tl Rb Rh
3 1 1
direct
0.000 0.000 0.500
0.500 0.000 0.000
0.000 0.500 0.000
0.000 0.000 0.000
0.500 0.500 0.500
```

## Properties
polymorph energy (0 for the lowest one) = 1543 meV per atom
symmetry = No. 221

---

# 18
## CaAc6Sn4 (PBE)

Data for a relaxed structure of CaAc6Sn4.

POSCAR file:
```
CaAc6Sn4
1.0
8.773 -0.304 -0.448
-4.326 7.638 0.448
-4.326 -2.392 7.268
Ac Sn Ca
6 4 1
direct
0.500 0.500 0.000
0.684 0.174 0.174
0.000 0.510 0.826
0.316 0.490 0.490
0.000 0.826 0.510
0.500 0.000 0.500
0.000 0.629 0.178
0.000 0.178 0.629
0.451 0.822 0.822
0.549 0.371 0.371
0.000 0.000 0.000
```

## Properties
symmetry = No. 121
final energy = -4.242 eV per atom

---

# 19
## LaTb4Ho (PBE)

Data for a relaxed structure of LaTb4Ho.

POSCAR file:
```
LaTb4Ho
1.0
6.424 -0.672 0.000
-2.574 8.690 0.000
-1.925 -4.009 7.449
Tb Ho La
8 2 2
direct
0.195 0.575 0.738
0.042 0.162 0.738
0.805 0.425 0.262
0.958 0.838 0.262
0.252 0.288 0.391
0.748 0.712 0.609
0.639 0.104 0.391
0.361 0.896 0.609
0.250 0.000 0.001
0.750 0.000 0.999
0.333 0.583 0.165
0.667 0.417 0.835
```

## Properties
polymorph energy (0 for the lowest one) = 0 meV per atom
symmetry = No. 15

---

# 20
## PuTaReTc (PBE)

Data for a relaxed structure of PuTaReTc.

POSCAR file:
```
PuTaReTc
1.0
-0.088 -2.515 -3.886
3.603 0.102 -2.905
2.741 -3.707 -0.420
Re Pu Tc Ta
1 1 1 1
direct
0.000 0.000 0.000
0.750 0.750 0.750
0.500 0.500 0.500
0.250 0.250 0.250
```

## Properties
symmetry = No. 216
final energy = -12.278 eV per atom

---

# 21
## Sc2IrRh (PBE)

Data for a relaxed structure of Sc2IrRh.

POSCAR file:
```
Sc2IrRh
1.0
7.003 0.000 0.000
0.000 7.003 0.000
3.501 3.501 2.968
Sc Ir Rh
4 2 2
direct
0.128 0.625 0.250
0.375 0.378 0.750
0.875 0.872 0.750
0.622 0.125 0.250
0.000 0.000 0.000
0.750 0.250 0.500
0.500 0.500 0.000
0.250 0.750 0.500
```

## Properties
polymorph energy (0 for the lowest one) = 553 meV per atom
symmetry = No. 122

---

# 22
## Sc3HIr (PBE)

Data for a relaxed structure of Sc3HIr.

POSCAR file:
```
Sc3HIr
1.0
5.058 0.000 0.000
0.000 5.058 0.000
0.000 0.000 5.058
Sc H Ir
3 1 1
direct
0.500 0.000 0.000
0.000 0.500 0.000
0.000 0.000 0.500
0.500 0.500 0.500
0.000 0.000 0.000
```

## Properties
polymorph energy (0 for the lowest one) = 726 meV per atom
symmetry = No. 221

---

# 23
## Zn8PtAu3 (PBE)

Data for a relaxed structure of Zn8PtAu3.

POSCAR file:
```
Zn8PtAu3
1.0
-5.800 0.509 5.044
2.884 -5.610 -3.859
4.381 -6.040 1.928
Au Pt Zn
3 1 8
direct
0.750 0.500 0.750
0.250 0.500 0.250
0.500 0.000 0.500
0.000 0.000 0.000
0.647 0.000 0.864
0.380 0.485 0.620
0.863 0.000 0.647
0.895 0.515 0.105
0.105 0.485 0.895
0.620 0.515 0.380
0.136 0.000 0.353
0.353 0.000 0.137
```

## Properties
symmetry = No. 69
final energy = -2.375 eV per atom

---

# 24
## CdAgSn3 (PBE)

Data for a relaxed structure of CdAgSn3.

POSCAR file:
```
CdAgSn3
1.0
-1.416 -4.105 3.189
1.027 -3.461 -4.000
5.096 -0.443 1.692
Sn Cd Ag
3 1 1
direct
0.500 0.000 0.000
0.000 0.500 0.000
0.000 0.000 0.500
0.500 0.500 0.500
0.000 0.000 0.000
```

## Properties
polymorph energy (0 for the lowest one) = 0 meV per atom
symmetry = No. 221